Entry one
First-principles (GGA-PBE) data for a relaxed CePrHoTh crystal, as listed in Alexandria.

abc: 3.5678 3.5678 34.7043
angles: 90.00 90.00 120.00
Space group R3m (No. 160, hexagonal axes)
Symmetry-distinct sites (fractional):
1 Ce 0.0000 0.0000 0.0000 x3
2 Pr 0.0000 0.0000 0.1684 x3
3 Ho 0.0000 0.0000 0.4143 x3
4 Th 0.0000 0.0000 0.5870 x3

Entry two
First-principles (GGA-PBE) data for a relaxed CePrHoTh crystal, as listed in Alexandria.

abc: 8.039 8.039 8.039
angles: 90.00 90.00 90.00
Space group F-43m (No. 216)
Symmetry-distinct sites (fractional):
1 Ce 0.000 0.000 0.000 x4
2 Pr 0.250 0.250 0.750 x4
3 Ho 0.000 0.000 0.500 x4
4 Th 0.250 0.250 0.250 x4

What should be chosen as the most stable of them? Choose entry one.

Entry one
First-principles (GGA-PBE) data for a relaxed CeHo2Pt crystal, as listed in Alexandria.

abc: 7.170 7.170 7.170
angles: 90.00 90.00 90.00
Space group Fm-3m (No. 225)
Symmetry-distinct sites (fractional):
1 Ce 0.000 0.000 0.000 x4
2 Ho 0.250 0.250 0.250 x8
3 Pt 0.000 0.000 0.500 x4

Entry two
First-principles (GGA-PBE) data for a relaxed CeHo2Pt crystal, as listed in Alexandria.

abc: 3.514 3.514 8.466
angles: 90.00 90.00 90.00
Space group P4/mmm (No. 123)
Symmetry-distinct sites (fractional):
1 Ce 0.000 0.000 0.000 x1
2 Ho 0.500 0.500 0.305 x2
3 Pt 0.000 0.000 0.500 x1

What should be chosen as the most stable of them? Choose entry two.